1.
First-principles (PBE) data for a geometry-optimized MnHgS2 structure, as listed in Alexandria via LeMat-Bulk.

Values from the calculation:
Its symmetry is P4/mmm, No. 123. The uncorrected formation energy is -0.62 eV/f.u. The offset from the most stable computed form is 257 meV/atom.

a b c (Å): 3.798 3.798 5.495
angles (deg): 90.00 90.00 90.00
Each line ends with the local moment (μB).
Atoms (fractional coordinates):
S 0.000 0.000 0.000  0.04
S 0.500 0.500 0.500  0.07
Hg 0.500 0.500 0.000  0.01
Mn 0.000 0.000 0.500  4.38

2.
First-principles (PBE) data for a geometry-optimized HoSc2UC4 structure, as listed in Alexandria via LeMat-Bulk.

Values from the calculation:
Its symmetry is P2/m, No. 10. The value obtained for the formation energy is -0.28 eV/atom.

a b c (Å): 3.462 5.903 5.972
angles (deg): 70.04 90.00 90.00
Atoms (fractional coordinates):
C 0.500 0.253 0.771
C 0.000 0.257 0.234
C 0.500 0.747 0.229
C 0.000 0.743 0.766
Sc 0.500 0.000 0.500
Sc 0.000 0.000 0.000
Ho 0.000 0.500 0.500
U 0.500 0.500 0.000

3.
First-principles (PBE) data for a geometry-optimized ErS6Cl2 structure, as listed in Alexandria via LeMat-Bulk.

Values from the calculation:
Its symmetry is P-1, No. 2. The uncorrected formation energy is -5.84 eV/f.u.

a b c (Å): 4.027 8.116 9.113
angles (deg): 113.91 93.16 90.78
Each line ends with the local moment (μB).
Atoms (fractional coordinates):
S 0.896 0.280 0.547  0.21
S 0.889 0.505 0.280  0.01
S 0.104 0.720 0.453  0.21
S 0.111 0.495 0.720  0.01
S 0.117 0.282 0.295  0.07
S 0.883 0.718 0.705  0.07
Er 0.000 0.000 0.000  0.04
Cl 0.503 0.856 0.099  0.01
Cl 0.497 0.144 0.901  0.01

4.
First-principles (PBE) data for a geometry-optimized DyFeNi3 structure, as listed in Alexandria via LeMat-Bulk.

Values from the calculation:
Its symmetry is Imma, No. 74. The value obtained for the formation energy is -0.13 eV/atom.

a b c (Å): 4.876 7.994 6.149
angles (deg): 130.55 113.36 90.00
Each line ends with the local moment (μB).
Atoms (fractional coordinates):
Fe 0.000 0.500 0.000  2.61
Fe 0.500 0.000 0.000  2.61
Ni 0.750 0.081 0.500  0.41
Ni 0.252 0.752 0.005  0.42
Ni 0.752 0.752 0.005  0.42
Ni 0.248 0.248 0.995  0.42
Ni 0.748 0.248 0.995  0.42
Ni 0.250 0.919 0.500  0.41
Dy 0.750 0.711 0.500  -0.23
Dy 0.250 0.289 0.500  -0.23

5.
First-principles (PBE) data for a geometry-optimized Ba2NpCl4O2 structure, as listed in Alexandria via LeMat-Bulk.

Values from the calculation:
Its symmetry is C2/m, No. 12. The uncorrected formation energy is -22.08 eV/f.u.

a b c (Å): 5.204 6.995 6.995
angles (deg): 68.50 80.03 80.03
Each line ends with the local moment (μB).
Atoms (fractional coordinates):
O 0.786 0.862 0.862  -0.09
O 0.214 0.138 0.138  -0.09
Ba 0.824 0.317 0.317  0.00
Ba 0.176 0.683 0.683  0.00
Cl 0.711 0.386 0.831  -0.01
Cl 0.711 0.831 0.386  -0.01
Cl 0.289 0.169 0.614  -0.01
Cl 0.289 0.614 0.169  -0.01
Np 0.500 0.000 0.000  3.10

6.
First-principles (PBE) data for a geometry-optimized Rb2Sn4PdPt3 structure, as listed in Alexandria via LeMat-Bulk.

Values from the calculation:
Its symmetry is P-4m2, No. 115. The value obtained for the formation energy is -0.43 eV/atom.

a b c (Å): 4.852 4.852 10.607
angles (deg): 90.00 90.00 90.00
Atoms (fractional coordinates):
Pt 0.500 0.000 0.876
Pt 0.000 0.500 0.124
Pt 0.000 0.000 0.500
Sn 0.000 0.000 0.000
Sn 0.000 0.500 0.383
Sn 0.500 0.000 0.617
Sn 0.500 0.500 0.000
Pd 0.500 0.500 0.500
Rb 0.500 0.000 0.257
Rb 0.000 0.500 0.743

7.
First-principles (PBE) data for a geometry-optimized TcPdN3 structure, as listed in Alexandria via LeMat-Bulk.

Values from the calculation:
Its symmetry is Pm-3m, No. 221. The uncorrected formation energy is 10.79 eV/f.u.

a b c (Å): 3.890 3.890 3.890
angles (deg): 90.00 90.00 90.00
Each line ends with the local moment (μB).
Atoms (fractional coordinates):
Tc 0.500 0.500 0.500  2.90
N 0.500 0.000 0.000  -0.52
N 0.000 0.000 0.500  -0.27
N 0.000 0.500 0.000  -0.42
Pd 0.000 0.000 0.000  -0.23

8.
First-principles (PBE) data for a geometry-optimized InCuSn structure, as listed in Alexandria via LeMat-Bulk.

Values from the calculation:
Its symmetry is P2/m, No. 10. The value obtained for the formation energy is 0.00 eV/atom.

a b c (Å): 4.557 4.535 7.920
angles (deg): 54.86 90.01 90.01
Atoms (fractional coordinates):
Sn 0.375 0.249 0.674
Sn 0.375 0.752 0.172
Cu 0.875 0.001 0.923
Cu 0.375 0.001 0.423
In 0.875 0.752 0.672
In 0.875 0.250 0.173

9.
First-principles (PBE) data for a geometry-optimized La2CdSe4 structure, as listed in Alexandria via LeMat-Bulk.

Values from the calculation:
Its symmetry is I-42d, No. 122. The uncorrected formation energy is -10.82 eV/f.u.

a b c (Å): 7.878 7.878 7.878
angles (deg): 110.90 110.90 106.65
Atoms (fractional coordinates):
Cd 0.250 0.750 0.500
Cd 0.500 0.500 0.000
La 0.014 0.125 0.389
La 0.875 0.264 0.889
La 0.736 0.625 0.611
La 0.375 0.986 0.111
Se 0.257 0.384 0.265
Se 0.119 0.992 0.735
Se 0.493 0.258 0.627
Se 0.616 0.881 0.873
Se 0.631 0.866 0.373
Se 0.742 0.369 0.235
Se 0.008 0.743 0.127
Se 0.134 0.507 0.765

10.
First-principles (PBE) data for a geometry-optimized LaInW2 structure, as listed in Alexandria via LeMat-Bulk.

Values from the calculation:
Its symmetry is R3m, No. 160. The value obtained for the formation energy is 0.49 eV/atom.

a b c (Å): 9.967 9.967 9.967
angles (deg): 18.51 18.51 18.51
Atoms (fractional coordinates):
W 0.988 0.988 0.988
W 0.259 0.259 0.259
La 0.743 0.743 0.743
In 0.510 0.510 0.510

11.
First-principles (PBE) data for a geometry-optimized Ta2NiRh structure, as listed in Alexandria via LeMat-Bulk.

Values from the calculation:
Its symmetry is P4/mmm, No. 123. The value obtained for the formation energy is -0.32 eV/atom.

a b c (Å): 3.958 3.958 3.889
angles (deg): 90.00 90.00 90.00
Atoms (fractional coordinates):
Rh 0.000 0.500 0.500
Ta 0.000 0.000 0.000
Ta 0.500 0.500 0.000
Ni 0.500 0.000 0.500

12.
First-principles (PBE) data for a geometry-optimized Er2Al17 structure, as listed in Alexandria via LeMat-Bulk.

Values from the calculation:
Its symmetry is P6_3/mmc, No. 194. The value obtained for the formation energy is -0.09 eV/atom.

a b c (Å): 9.418 9.418 8.949
angles (deg): 90.00 90.00 120.00
Atoms (fractional coordinates):
Al 0.329 0.165 0.023
Al 0.835 0.165 0.477
Al 0.500 0.500 0.000
Al 0.835 0.671 0.477
Al 0.165 0.835 0.523
Al 0.500 0.500 0.500
Al 0.636 0.963 0.250
Al 0.667 0.333 0.602
Al 0.165 0.329 0.523
Al 0.672 0.636 0.750
Al 0.333 0.667 0.102
Al 0.500 0.000 0.500
Al 0.364 0.328 0.750
Al 0.963 0.328 0.750
Al 0.364 0.037 0.750
Al 0.000 0.500 0.000
Al 0.667 0.333 0.898
Al 0.165 0.835 0.977
Al 0.037 0.364 0.250
Al 0.671 0.835 0.523
Al 0.333 0.667 0.398
Al 0.328 0.364 0.250
Al 0.328 0.963 0.250
Al 0.000 0.500 0.500
Al 0.329 0.165 0.477
Al 0.037 0.672 0.250
Al 0.672 0.037 0.750
Al 0.165 0.329 0.977
Al 0.835 0.165 0.023
Al 0.835 0.671 0.023
Al 0.500 0.000 0.000
Al 0.671 0.835 0.977
Al 0.963 0.636 0.750
Al 0.636 0.672 0.250
Er 0.333 0.667 0.750
Er 0.000 0.000 0.250
Er 0.667 0.333 0.250
Er 0.000 0.000 0.750